No. 1
The following is a DFT calculation (PBE) of an optimized crystal structure of CaPrMgSn.

Structure (CIF):
```
data_CaPrMgSn
_cell_length_a 5.466
_cell_length_b 5.466
_cell_length_c 5.466
_cell_angle_alpha 60.00
_cell_angle_beta 60.00
_cell_angle_gamma 60.00
_symmetry_space_group_name_H-M 'P 1'
_symmetry_Int_Tables_number 1
_symmetry_space_group_name_Hall 'P 1'
loop_
_atom_site_label
_atom_site_fract_x
_atom_site_fract_y
_atom_site_fract_z
Pr1 0.000 0.000 0.000
Mg1 0.750 0.750 0.750
Sn1 0.250 0.250 0.250
Ca1 0.500 0.500 0.500
```

Computed properties:
spin magnetization: 0.00 μB per cell
formation energy from the elements: -414 meV/atom
total energy: -14.04 eV/cell
calculated volume: 28.86 Å³/atom

No. 2
The following is a DFT calculation (PBE) of an optimized crystal structure of SrCaPrMg.

Structure (CIF):
```
data_SrCaPrMg
_cell_length_a 3.992
_cell_length_b 3.992
_cell_length_c 9.547
_cell_angle_alpha 90.00
_cell_angle_beta 90.00
_cell_angle_gamma 90.00
_symmetry_space_group_name_H-M 'P 1'
_symmetry_Int_Tables_number 1
_symmetry_space_group_name_Hall 'P 1'
loop_
_atom_site_label
_atom_site_fract_x
_atom_site_fract_y
_atom_site_fract_z
Mg1 0.000 0.000 0.550
Sr1 0.500 0.500 0.783
Pr1 0.500 0.500 0.358
Ca1 0.000 0.000 0.093
```

Computed properties:
spin magnetization: 0.00 μB per cell
formation energy from the elements: -4 meV/atom
total energy: -10.07 eV/cell
calculated volume: 38.04 Å³/atom

No. 3
The following is a DFT calculation (PBE) of an optimized crystal structure of SrCaPrMg.

Structure (CIF):
```
data_SrCaPrMg
_cell_length_a 5.939
_cell_length_b 5.939
_cell_length_c 5.939
_cell_angle_alpha 60.00
_cell_angle_beta 60.00
_cell_angle_gamma 60.00
_symmetry_space_group_name_H-M 'P 1'
_symmetry_Int_Tables_number 1
_symmetry_space_group_name_Hall 'P 1'
loop_
_atom_site_label
_atom_site_fract_x
_atom_site_fract_y
_atom_site_fract_z
Pr1 0.750 0.750 0.750
Sr1 0.250 0.250 0.250
Ca1 0.000 0.000 0.000
Mg1 0.500 0.500 0.500
```

Computed properties:
spin magnetization: 0.00 μB per cell
formation energy from the elements: 75 meV/atom
total energy: -9.76 eV/cell
calculated volume: 37.02 Å³/atom

No. 4
The following is a DFT calculation (PBE) of an optimized crystal structure of CaTbPrMg.

Structure (CIF):
```
data_CaTbPrMg
_cell_length_a 5.666
_cell_length_b 5.666
_cell_length_c 5.666
_cell_angle_alpha 60.00
_cell_angle_beta 60.00
_cell_angle_gamma 60.00
_symmetry_space_group_name_H-M 'P 1'
_symmetry_Int_Tables_number 1
_symmetry_space_group_name_Hall 'P 1'
loop_
_atom_site_label
_atom_site_fract_x
_atom_site_fract_y
_atom_site_fract_z
Pr1 0.750 0.750 0.750
Tb1 0.250 0.250 0.250
Mg1 0.000 0.000 0.000
Ca1 0.500 0.500 0.500
```

Computed properties:
spin magnetization: 0.00 μB per cell
formation energy from the elements: 48 meV/atom
total energy: -12.81 eV/cell
calculated volume: 32.16 Å³/atom